Crystalline TmGePO at its relaxed geometry. Source: the Open Quantum Materials Database, functional PBE.

Results
**Total energy**: -49.6 eV for the cell shown
**Offset from the most stable computed form**: 0.115 eV/atom
**Space group**: Pmc2_1

Lattice parameters (Å, degrees): 4.1917 5.4736 5.9775 90.00 90.00 90.00
Fractional positions:
P: 0.0000 0.0706 0.7935
Tm: 0.5000 0.2306 0.0815
Ge: 0.0000 0.6394 0.9751
Tm: 0.5000 0.7694 0.5815
O: 0.5000 0.4175 0.4038
O: 0.5000 0.5825 0.9038
Ge: 0.0000 0.3606 0.4751
P: 0.0000 0.9294 0.2935